1.
Entry from Alexandria: an optimized crystal structure of Pu5Ge4Ir (PBE).

```
Pu5Ge4Ir
1.0
3.837 0.000 0.000
0.000 3.837 0.000
0.000 0.000 14.325
Pu Ge Ir
5 4 1
direct
0.500 0.500 0.097 Pu
0.500 0.500 0.298 Pu
0.500 0.500 0.500 Pu
0.500 0.500 0.702 Pu
0.500 0.500 0.903 Pu
0.000 0.000 0.189 Ge
0.000 0.000 0.403 Ge
0.000 0.000 0.597 Ge
0.000 0.000 0.811 Ge
0.000 0.000 0.000 Ir
```

Calculated values
E ... -10.3637 eV per atom
DOS at the Fermi energy ... 3.2777 states/eV per atom
Size of the total moment ... 2.61 μB/atom

***

2.
Entry from Alexandria: an optimized crystal structure of SmAl2ZnPd2 (PBE).

```
SmAl2ZnPd2
1.0
-1.424 -3.538 -2.659
-1.288 -2.341 3.805
-5.087 2.285 -0.316
Sm Al Zn Pd
1 2 1 2
direct
0.000 0.000 0.500 Sm
0.500 0.500 0.746 Al
0.500 0.500 0.254 Al
0.000 0.000 0.000 Zn
0.500 0.000 0.000 Pd
0.000 0.500 0.000 Pd
```

Calculated values
E ... -4.3747 eV per atom
DOS at the Fermi energy ... 0.6477 states/eV per atom
Size of the total moment ... 0.00 μB/atom